Below is BeBi3N after structural relaxation, with properties calculated at the GGA-PBE level.

Calculated values
Offset from the most stable computed form: 0.0 kJ per mole of atoms
ΔE_f (raw): 0.915 eV/atom
Crystal system: cubic
Magnetic moment: 0.000 μB per atom

```
data_BeBi3N
_symmetry_space_group_name_H-M 'P 1'
_symmetry_Int_Tables_number 1
_cell_length_a 4.906
_cell_length_b 4.906
_cell_length_c 4.906
_cell_angle_alpha 90.00
_cell_angle_beta 90.00
_cell_angle_gamma 90.00
loop_
_symmetry_equiv_pos_as_xyz
'x,y,z'
loop_
_atom_site_label
_atom_site_type_symbol
_atom_site_fract_x
_atom_site_fract_y
_atom_site_fract_z
Be1 Be 0.000 0.000 0.000
Bi1 Bi 0.000 0.500 0.500
Bi2 Bi 0.500 0.000 0.500
Bi3 Bi 0.500 0.500 0.000
N1 N 0.500 0.500 0.500
```

***

Below is BaBiAu after structural relaxation, with properties calculated at the GGA-PBE level.

Calculated values
Crystal system: hexagonal
Energy of formation from the pure elements: 297 meV per atom
Magnetic moment: 0.667 μB per atom

```
data_BaBiAu
_symmetry_space_group_name_H-M 'P 1'
_symmetry_Int_Tables_number 1
_cell_length_a 5.579
_cell_length_b 5.579
_cell_length_c 13.979
_cell_angle_alpha 90.00
_cell_angle_beta 90.00
_cell_angle_gamma 120.00
loop_
_symmetry_equiv_pos_as_xyz
'x,y,z'
loop_
_atom_site_label
_atom_site_type_symbol
_atom_site_fract_x
_atom_site_fract_y
_atom_site_fract_z
Ba1 Ba 0.000 0.000 0.250
Ba2 Ba 0.000 0.000 0.750
Bi1 Bi 0.000 0.000 0.000
Bi2 Bi 0.000 0.000 0.500
Au1 Au 0.333 0.667 0.250
Au2 Au 0.667 0.333 0.750
```

***

Below is ReMo2Se after structural relaxation, with properties calculated at the GGA-PBE level.

Calculated values
ΔE_f (raw): 0.459 eV/atom
Crystal system: orthorhombic
Magnetic moment: 0.000 μB per atom

```
data_ReMo2Se
_symmetry_space_group_name_H-M 'P 1'
_symmetry_Int_Tables_number 1
_cell_length_a 3.140
_cell_length_b 4.614
_cell_length_c 9.044
_cell_angle_alpha 90.00
_cell_angle_beta 90.00
_cell_angle_gamma 90.00
loop_
_symmetry_equiv_pos_as_xyz
'x,y,z'
loop_
_atom_site_label
_atom_site_type_symbol
_atom_site_fract_x
_atom_site_fract_y
_atom_site_fract_z
Re1 Re 0.000 0.000 0.000
Re2 Re 0.500 0.500 0.000
Mo1 Mo 0.000 0.000 0.525
Mo2 Mo 0.000 0.500 0.769
Mo3 Mo 0.500 0.000 0.769
Mo4 Mo 0.500 0.500 0.525
Se1 Se 0.000 0.500 0.280
Se2 Se 0.500 0.000 0.280
```

***

Below is ScOsRu2 after structural relaxation, with properties calculated at the GGA-PBE level.

Calculated values
Offset from the most stable computed form: 17.2 kJ per mole of atoms
Crystal system: cubic
Energy of formation from the pure elements: 112 meV per atom
Magnetic moment: 0.396 μB per atom

```
data_ScOsRu2
_symmetry_space_group_name_H-M 'P 1'
_symmetry_Int_Tables_number 1
_cell_length_a 6.269
_cell_length_b 6.269
_cell_length_c 6.269
_cell_angle_alpha 90.00
_cell_angle_beta 90.00
_cell_angle_gamma 90.00
loop_
_symmetry_equiv_pos_as_xyz
'x,y,z'
loop_
_atom_site_label
_atom_site_type_symbol
_atom_site_fract_x
_atom_site_fract_y
_atom_site_fract_z
Sc1 Sc 0.000 0.000 0.000
Sc2 Sc 0.000 0.500 0.500
Sc3 Sc 0.500 0.000 0.500
Sc4 Sc 0.500 0.500 0.000
Os1 Os 0.250 0.250 0.750
Os2 Os 0.250 0.750 0.250
Os3 Os 0.750 0.250 0.250
Os4 Os 0.750 0.750 0.750
Ru1 Ru 0.000 0.000 0.500
Ru2 Ru 0.000 0.500 0.000
Ru3 Ru 0.250 0.250 0.250
Ru4 Ru 0.250 0.750 0.750
Ru5 Ru 0.500 0.000 0.000
Ru6 Ru 0.500 0.500 0.500
Ru7 Ru 0.750 0.250 0.750
Ru8 Ru 0.750 0.750 0.250
```

***

Below is YFeRh4 after structural relaxation, with properties calculated at the GGA-PBE level.

Calculated values
Crystal system: cubic
Energy of formation from the pure elements: -207 meV per atom
Magnetic moment: 0.760 μB per atom

```
data_YFeRh4
_symmetry_space_group_name_H-M 'P 1'
_symmetry_Int_Tables_number 1
_cell_length_a 5.210
_cell_length_b 5.210
_cell_length_c 5.210
_cell_angle_alpha 60.00
_cell_angle_beta 60.00
_cell_angle_gamma 60.00
loop_
_symmetry_equiv_pos_as_xyz
'x,y,z'
loop_
_atom_site_label
_atom_site_type_symbol
_atom_site_fract_x
_atom_site_fract_y
_atom_site_fract_z
Y1 Y 0.000 0.000 0.000
Fe1 Fe 0.250 0.250 0.250
Rh1 Rh 0.126 0.625 0.625
Rh2 Rh 0.625 0.126 0.625
Rh3 Rh 0.625 0.625 0.126
Rh4 Rh 0.625 0.625 0.625
```

***

Below is Cs2BeInC after structural relaxation, with properties calculated at the GGA-PBE level.

Calculated values
Crystal system: tetragonal
Energy of formation from the pure elements: 648 meV per atom
Magnetic moment: 0.063 μB per atom

```
data_Cs2BeInC
_symmetry_space_group_name_H-M 'P 1'
_symmetry_Int_Tables_number 1
_cell_length_a 6.961
_cell_length_b 6.961
_cell_length_c 3.395
_cell_angle_alpha 90.00
_cell_angle_beta 90.00
_cell_angle_gamma 90.00
loop_
_symmetry_equiv_pos_as_xyz
'x,y,z'
loop_
_atom_site_label
_atom_site_type_symbol
_atom_site_fract_x
_atom_site_fract_y
_atom_site_fract_z
Cs1 Cs 0.000 0.500 0.000
Cs2 Cs 0.500 0.000 0.000
Be1 Be 0.000 0.000 0.000
In1 In 0.500 0.500 0.500
C1 C 0.000 0.000 0.500
```

***

Below is Pr4Bi2SbSe after structural relaxation, with properties calculated at the GGA-PBE level.

Calculated values
ΔE_f (raw): -1.236 eV/atom
Crystal system: monoclinic
Magnetic moment: 0.000 μB per atom

```
data_Pr4Bi2SbSe
_symmetry_space_group_name_H-M 'P 1'
_symmetry_Int_Tables_number 1
_cell_length_a 7.842
_cell_length_b 4.539
_cell_length_c 7.856
_cell_angle_alpha 90.00
_cell_angle_beta 109.47
_cell_angle_gamma 90.00
loop_
_symmetry_equiv_pos_as_xyz
'x,y,z'
loop_
_atom_site_label
_atom_site_type_symbol
_atom_site_fract_x
_atom_site_fract_y
_atom_site_fract_z
Pr1 Pr 0.243 0.000 0.239
Pr2 Pr 0.249 0.500 0.759
Pr3 Pr 0.751 0.500 0.241
Pr4 Pr 0.757 0.000 0.761
Bi1 Bi 0.000 0.000 0.500
Bi2 Bi 0.500 0.500 0.500
Sb1 Sb 0.500 0.000 0.000
Se1 Se 0.000 0.500 0.000
```

***

Below is GaCuN2 after structural relaxation, with properties calculated at the GGA-PBE level.

Calculated values
ΔE_f (raw): 0.856 eV/atom
Crystal system: trigonal
Magnetic moment: 0.000 μB per atom

```
data_GaCuN2
_symmetry_space_group_name_H-M 'P 1'
_symmetry_Int_Tables_number 1
_cell_length_a 3.089
_cell_length_b 3.089
_cell_length_c 16.954
_cell_angle_alpha 90.00
_cell_angle_beta 90.00
_cell_angle_gamma 120.00
loop_
_symmetry_equiv_pos_as_xyz
'x,y,z'
loop_
_atom_site_label
_atom_site_type_symbol
_atom_site_fract_x
_atom_site_fract_y
_atom_site_fract_z
Ga1 Ga 0.000 0.000 0.000
Ga2 Ga 0.333 0.667 0.667
Ga3 Ga 0.667 0.333 0.333
Cu1 Cu 0.000 0.000 0.500
Cu2 Cu 0.333 0.667 0.167
Cu3 Cu 0.667 0.333 0.833
N1 N 0.000 0.000 0.109
N2 N 0.000 0.000 0.891
N3 N 0.333 0.667 0.558
N4 N 0.333 0.667 0.776
N5 N 0.667 0.333 0.224
N6 N 0.667 0.333 0.442
```

***

Below is Ho3Cr5N12 after structural relaxation, with properties calculated at the GGA-PBE level.

Calculated values
ΔE_f (raw): -0.654 eV/atom
Crystal system: cubic
Magnetic moment: 0.150 μB per atom

```
data_Ho3Cr5N12
_symmetry_space_group_name_H-M 'P 1'
_symmetry_Int_Tables_number 1
_cell_length_a 10.597
_cell_length_b 10.597
_cell_length_c 10.597
_cell_angle_alpha 109.47
_cell_angle_beta 109.47
_cell_angle_gamma 109.47
loop_
_symmetry_equiv_pos_as_xyz
'x,y,z'
loop_
_atom_site_label
_atom_site_type_symbol
_atom_site_fract_x
_atom_site_fract_y
_atom_site_fract_z
Ho1 Ho 0.125 0.250 0.375
Ho2 Ho 0.125 0.375 0.750
Ho3 Ho 0.250 0.375 0.125
Ho4 Ho 0.250 0.875 0.625
Ho5 Ho 0.375 0.125 0.250
Ho6 Ho 0.375 0.750 0.125
Ho7 Ho 0.625 0.250 0.875
Ho8 Ho 0.625 0.875 0.750
Ho9 Ho 0.750 0.125 0.375
Ho10 Ho 0.750 0.625 0.875
Ho11 Ho 0.875 0.625 0.250
Ho12 Ho 0.875 0.750 0.625
Cr1 Cr 0.000 0.000 0.000
Cr2 Cr 0.000 0.000 0.500
Cr3 Cr 0.000 0.500 0.000
Cr4 Cr 0.000 0.500 0.500
Cr5 Cr 0.125 0.750 0.875
Cr6 Cr 0.125 0.875 0.250
Cr7 Cr 0.250 0.125 0.875
Cr8 Cr 0.250 0.625 0.375
Cr9 Cr 0.375 0.250 0.625
Cr10 Cr 0.375 0.625 0.750
Cr11 Cr 0.500 0.000 0.000
Cr12 Cr 0.500 0.000 0.500
Cr13 Cr 0.500 0.500 0.000
Cr14 Cr 0.500 0.500 0.500
Cr15 Cr 0.625 0.375 0.250
Cr16 Cr 0.625 0.750 0.375
Cr17 Cr 0.750 0.375 0.625
Cr18 Cr 0.750 0.875 0.125
Cr19 Cr 0.875 0.125 0.750
Cr20 Cr 0.875 0.250 0.125
N1 N 0.013 0.199 0.114
N2 N 0.013 0.314 0.899
N3 N 0.085 0.699 0.686
N4 N 0.085 0.886 0.399
N5 N 0.101 0.614 0.415
N6 N 0.101 0.987 0.686
N7 N 0.114 0.013 0.199
N8 N 0.114 0.601 0.915
N9 N 0.186 0.199 0.585
N10 N 0.186 0.487 0.601
N11 N 0.199 0.114 0.013
N12 N 0.199 0.585 0.186
N13 N 0.301 0.314 0.915
N14 N 0.301 0.487 0.386
N15 N 0.314 0.899 0.013
N16 N 0.314 0.915 0.301
N17 N 0.386 0.301 0.487
N18 N 0.386 0.585 0.899
N19 N 0.399 0.085 0.886
N20 N 0.399 0.814 0.513
N21 N 0.415 0.101 0.614
N22 N 0.415 0.814 0.801
N23 N 0.487 0.386 0.301
N24 N 0.487 0.601 0.186
N25 N 0.513 0.399 0.814
N26 N 0.513 0.614 0.699
N27 N 0.585 0.186 0.199
N28 N 0.585 0.899 0.386
N29 N 0.601 0.186 0.487
N30 N 0.601 0.915 0.114
N31 N 0.614 0.415 0.101
N32 N 0.614 0.699 0.513
N33 N 0.686 0.085 0.699
N34 N 0.686 0.101 0.987
N35 N 0.699 0.513 0.614
N36 N 0.699 0.686 0.085
N37 N 0.801 0.415 0.814
N38 N 0.801 0.886 0.987
N39 N 0.814 0.513 0.399
N40 N 0.814 0.801 0.415
N41 N 0.886 0.399 0.085
N42 N 0.886 0.987 0.801
N43 N 0.899 0.013 0.314
N44 N 0.899 0.386 0.585
N45 N 0.915 0.114 0.601
N46 N 0.915 0.301 0.314
N47 N 0.987 0.686 0.101
N48 N 0.987 0.801 0.886
```

***

Below is Ac4BiRuI2 after structural relaxation, with properties calculated at the GGA-PBE level.

Calculated values
ΔE_f (raw): -0.842 eV/atom
Crystal system: monoclinic
Magnetic moment: 0.000 μB per atom

```
data_Ac4BiRuI2
_symmetry_space_group_name_H-M 'P 1'
_symmetry_Int_Tables_number 1
_cell_length_a 8.473
_cell_length_b 4.490
_cell_length_c 8.803
_cell_angle_alpha 90.00
_cell_angle_beta 106.32
_cell_angle_gamma 90.00
loop_
_symmetry_equiv_pos_as_xyz
'x,y,z'
loop_
_atom_site_label
_atom_site_type_symbol
_atom_site_fract_x
_atom_site_fract_y
_atom_site_fract_z
Ac1 Ac 0.201 0.000 0.190
Ac2 Ac 0.222 0.500 0.805
Ac3 Ac 0.778 0.500 0.195
Ac4 Ac 0.799 0.000 0.810
Bi1 Bi 0.500 0.000 0.000
Ru1 Ru 0.000 0.500 0.000
I1 I 0.000 0.000 0.500
I2 I 0.500 0.500 0.500
```

***

Below is LaMn2S after structural relaxation, with properties calculated at the GGA-PBE level.

Calculated values
ΔE_f (raw): -0.205 eV/atom
Crystal system: tetragonal
Magnetic moment: 0.591 μB per atom

```
data_LaMn2S
_symmetry_space_group_name_H-M 'P 1'
_symmetry_Int_Tables_number 1
_cell_length_a 4.447
_cell_length_b 4.447
_cell_length_c 15.574
_cell_angle_alpha 90.00
_cell_angle_beta 90.00
_cell_angle_gamma 90.00
loop_
_symmetry_equiv_pos_as_xyz
'x,y,z'
loop_
_atom_site_label
_atom_site_type_symbol
_atom_site_fract_x
_atom_site_fract_y
_atom_site_fract_z
La1 La 0.000 0.250 0.375
La2 La 0.000 0.750 0.625
La3 La 0.500 0.250 0.125
La4 La 0.500 0.750 0.875
Mn1 Mn 0.000 0.000 0.000
Mn2 Mn 0.000 0.500 0.000
Mn3 Mn 0.250 0.250 0.750
Mn4 Mn 0.250 0.750 0.250
Mn5 Mn 0.500 0.000 0.500
Mn6 Mn 0.500 0.500 0.500
Mn7 Mn 0.750 0.250 0.750
Mn8 Mn 0.750 0.750 0.250
S1 S 0.000 0.250 0.875
S2 S 0.000 0.750 0.125
S3 S 0.500 0.250 0.625
S4 S 0.500 0.750 0.375
```